(1)
VASP calculation (meta-GGA SCAN) on EuAu at its PBEsol-relaxed geometry.

CIF file:
```
data_EuAu
_symmetry_space_group_name_H-M 'P n m a'
_symmetry_Int_Tables_number 62
_cell_length_a 7.5021
_cell_length_b 4.6382
_cell_length_c 5.8918
_cell_angle_alpha 90.00
_cell_angle_beta 90.00
_cell_angle_gamma 90.00
loop_
_symmetry_equiv_pos_as_xyz
'x,y,z'
'-x,-y,-z'
'-x+1/2,-y,z+1/2'
'x+1/2,y,-z+1/2'
'x+1/2,-y+1/2,-z+1/2'
'-x+1/2,y+1/2,z+1/2'
'-x,y+1/2,-z'
'x,-y+1/2,z'
loop_
_atom_site_label
_atom_site_type_symbol
_atom_site_fract_x
_atom_site_fract_y
_atom_site_fract_z
Eu1 Eu 0.1807 0.2500 0.1373
Au1 Au 0.0401 0.2500 0.6417
```

Computed properties:
M_tot   7.35 μB/f.u.
D(E_F)   28.4 states/eV per cell
Energy of formation   -994.1 meV per atom
ρ   11.30 Mg/m³
Energy   -499.4 eV/cell
Crystal system   orthorhombic



(2)
VASP calculation (meta-GGA SCAN) on Eu2Ge3Au at its PBEsol-relaxed geometry.

CIF file:
```
data_Eu2Ge3Au
_symmetry_space_group_name_H-M 'F m m m'
_symmetry_Int_Tables_number 69
_symmetry_space_group_name_Hall '-F 2 2'
_cell_length_a 8.5436
_cell_length_b 8.5452
_cell_length_c 14.7896
_cell_angle_alpha 90.00
_cell_angle_beta 90.00
_cell_angle_gamma 90.00
loop_
_atom_site_label
_atom_site_type_symbol
_atom_site_fract_x
_atom_site_fract_y
_atom_site_fract_z
Eu1 Eu 0.2473 0.0000 0.0000
Eu2 Eu 0.2500 0.2500 0.2500
Ge1 Ge 0.0000 0.0000 0.1650
Ge2 Ge 0.0000 0.2484 0.0825
Au1 Au 0.0000 0.0000 0.3333
```

Computed properties:
M_tot   14.14 μB/f.u.
D(E_F)   119.6 states/eV per cell
Energy of formation   -802.0 meV per atom
ρ   8.84 Mg/m³
Energy   -1909.2 eV/cell
Crystal system   orthorhombic



(3)
VASP calculation (meta-GGA SCAN) on EuIn4Au2 at its PBEsol-relaxed geometry.

CIF file:
```
data_EuIn4Au2
_symmetry_space_group_name_H-M 'P n m a'
_symmetry_Int_Tables_number 62
_cell_length_a 18.4865
_cell_length_b 4.6068
_cell_length_c 7.3929
_cell_angle_alpha 90.00
_cell_angle_beta 90.00
_cell_angle_gamma 90.00
loop_
_symmetry_equiv_pos_as_xyz
'x,y,z'
'-x,-y,-z'
'-x+1/2,-y,z+1/2'
'x+1/2,y,-z+1/2'
'x+1/2,-y+1/2,-z+1/2'
'-x+1/2,y+1/2,z+1/2'
'-x,y+1/2,-z'
'x,-y+1/2,z'
loop_
_atom_site_label
_atom_site_type_symbol
_atom_site_fract_x
_atom_site_fract_y
_atom_site_fract_z
Eu1 Eu 0.1423 0.2500 0.0278
In1 In 0.0353 0.7500 0.8575
In2 In 0.0676 0.2500 0.4880
In3 In 0.1862 0.7500 0.3262
In4 In 0.1878 0.7500 0.7362
Au1 Au 0.0399 0.7500 0.2465
Au2 Au 0.2180 0.2500 0.5330
```

Computed properties:
M_tot   7.00 μB/f.u.
D(E_F)   27.0 states/eV per cell
Energy of formation   -558.7 meV per atom
ρ   10.60 Mg/m³
Energy   -1317.9 eV/cell
Crystal system   orthorhombic



(4)
VASP calculation (meta-GGA SCAN) on EuIn2Au at its PBEsol-relaxed geometry.

CIF file:
```
data_EuIn2Au
_symmetry_space_group_name_H-M 'C m c m'
_symmetry_Int_Tables_number 63
_symmetry_space_group_name_Hall '-C 2c 2'
_cell_length_a 4.6226
_cell_length_b 10.8918
_cell_length_c 7.4467
_cell_angle_alpha 90.00
_cell_angle_beta 90.00
_cell_angle_gamma 90.00
loop_
_atom_site_label
_atom_site_type_symbol
_atom_site_fract_x
_atom_site_fract_y
_atom_site_fract_z
Eu1 Eu 0.0000 0.0786 0.2500
In1 In 0.0000 0.3663 0.0506
Au1 Au 0.0000 0.2089 0.7500
```

Computed properties:
M_tot   7.11 μB/f.u.
D(E_F)   42.4 states/eV per cell
Energy of formation   -701.7 meV per atom
ρ   10.25 Mg/m³
Energy   -769.8 eV/cell
Crystal system   orthorhombic



(5)
VASP calculation (meta-GGA SCAN) on EuPAu at its PBEsol-relaxed geometry.

CIF file:
```
data_EuPAu
_symmetry_space_group_name_H-M 'P 63/m m c'
_symmetry_Int_Tables_number 194
_symmetry_space_group_name_Hall '-P 6c 2c'
_cell_length_a 4.2401
_cell_length_b 4.2401
_cell_length_c 8.0934
_cell_angle_alpha 90.00
_cell_angle_beta 90.00
_cell_angle_gamma 120.00
loop_
_atom_site_label
_atom_site_type_symbol
_atom_site_fract_x
_atom_site_fract_y
_atom_site_fract_z
Eu1 Eu 0.0000 0.0000 0.0000
P1 P 0.3333 0.6667 0.2500
Au1 Au 0.3333 0.6667 0.7500
```

Computed properties:
M_tot   7.02 μB/f.u.
D(E_F)   16.7 states/eV per cell
Energy of formation   -1113.3 meV per atom
ρ   10.01 Mg/m³
Energy   -273.2 eV/cell
Crystal system   hexagonal



(6)
VASP calculation (meta-GGA SCAN) on Eu2Si4Pd3Au at its PBEsol-relaxed geometry.

CIF file:
```
data_Eu2Si4Pd3Au
_symmetry_space_group_name_H-M 'P -4 m 2'
_symmetry_Int_Tables_number 115
_cell_length_a 4.2028
_cell_length_b 4.2028
_cell_length_c 9.9590
_cell_angle_alpha 90.00
_cell_angle_beta 90.00
_cell_angle_gamma 90.00
loop_
_symmetry_equiv_pos_as_xyz
'x,y,z'
'y,-x,-z'
'-x,-y,z'
'-y,x,-z'
'-x,y,z'
'-y,-x,-z'
'x,-y,z'
'y,x,-z'
loop_
_atom_site_label
_atom_site_type_symbol
_atom_site_fract_x
_atom_site_fract_y
_atom_site_fract_z
Eu1 Eu 0.0000 0.5000 0.2485
Si1 Si 0.0000 0.5000 0.6359
Si2 Si 0.0000 0.5000 0.8732
Pd1 Pd 0.0000 0.0000 0.0000
Pd2 Pd 0.5000 0.5000 0.0000
Pd3 Pd 0.5000 0.5000 0.5000
Au1 Au 0.0000 0.0000 0.5000
```

Computed properties:
M_tot   13.96 μB/f.u.
D(E_F)   14.2 states/eV per cell
ΔE_f (raw)   -0.8182 eV/atom
ρ   8.80 Mg/m³
Energy   -323.1 eV/cell
Crystal system   tetragonal



(7)
VASP calculation (meta-GGA SCAN) on Eu2SbAu at its PBEsol-relaxed geometry.

CIF file:
```
data_Eu2SbAu
_symmetry_space_group_name_H-M 'F m -3 m'
_symmetry_Int_Tables_number 225
_symmetry_space_group_name_Hall '-F 4 2 3'
_cell_length_a 7.5285
_cell_length_b 7.5285
_cell_length_c 7.5285
_cell_angle_alpha 90.00
_cell_angle_beta 90.00
_cell_angle_gamma 90.00
loop_
_atom_site_label
_atom_site_type_symbol
_atom_site_fract_x
_atom_site_fract_y
_atom_site_fract_z
Eu1 Eu 0.2500 0.2500 0.2500
Sb1 Sb 0.0000 0.0000 0.0000
Au1 Au 0.0000 0.0000 0.5000
```

Computed properties:
M_tot   14.00 μB/f.u.
D(E_F)   60.6 states/eV per cell
ΔE_f (raw)   -1.0971 eV/atom
ρ   9.69 Mg/m³
Energy   -872.9 eV/cell
Crystal system   cubic



(8)
VASP calculation (meta-GGA SCAN) on Eu2Si3Au at its PBEsol-relaxed geometry.

CIF file:
```
data_Eu2Si3Au
_symmetry_space_group_name_H-M 'P -6 m 2'
_symmetry_Int_Tables_number 187
_symmetry_space_group_name_Hall 'P -6 2'
_cell_length_a 4.1380
_cell_length_b 4.1380
_cell_length_c 8.5301
_cell_angle_alpha 90.00
_cell_angle_beta 90.00
_cell_angle_gamma 120.00
loop_
_atom_site_label
_atom_site_type_symbol
_atom_site_fract_x
_atom_site_fract_y
_atom_site_fract_z
Eu1 Eu 0.0000 0.0000 0.2466
Si1 Si 0.3333 0.6667 0.0000
Si2 Si 0.3333 0.6667 0.5000
Si3 Si 0.6667 0.3333 0.0000
Au1 Au 0.6667 0.3333 0.5000
```

Computed properties:
M_tot   13.96 μB/f.u.
D(E_F)   9.4 states/eV per cell
ΔE_f (raw)   -0.6380 eV/atom
ρ   7.68 Mg/m³
Energy   -210.5 eV/cell
Crystal system   hexagonal



(9)
VASP calculation (meta-GGA SCAN) on EuZnAu at its PBEsol-relaxed geometry.

CIF file:
```
data_EuZnAu
_symmetry_space_group_name_H-M 'P n m a'
_symmetry_Int_Tables_number 62
_cell_length_a 7.1873
_cell_length_b 4.5730
_cell_length_c 7.7505
_cell_angle_alpha 90.00
_cell_angle_beta 90.00
_cell_angle_gamma 90.00
loop_
_symmetry_equiv_pos_as_xyz
'x,y,z'
'-x,-y,-z'
'-x+1/2,-y,z+1/2'
'x+1/2,y,-z+1/2'
'x+1/2,-y+1/2,-z+1/2'
'-x+1/2,y+1/2,z+1/2'
'-x,y+1/2,-z'
'x,-y+1/2,z'
loop_
_atom_site_label
_atom_site_type_symbol
_atom_site_fract_x
_atom_site_fract_y
_atom_site_fract_z
Eu1 Eu 0.0049 0.2500 0.2003
Zn1 Zn 0.1800 0.2500 0.5806
Au1 Au 0.2053 0.7500 0.4078
```

Computed properties:
M_tot   7.34 μB/f.u.
D(E_F)   7.4 states/eV per cell
Energy of formation   -756.3 meV per atom
ρ   10.80 Mg/m³
Energy   -554.6 eV/cell
Crystal system   orthorhombic



(10)
VASP calculation (meta-GGA SCAN) on AuF3 at its PBEsol-relaxed geometry.

CIF file:
```
data_AuF3
_symmetry_space_group_name_H-M 'P 61 2 2'
_symmetry_Int_Tables_number 178
_symmetry_space_group_name_Hall 'P 61 2 (0 0 5)'
_cell_length_a 5.1068
_cell_length_b 5.1068
_cell_length_c 16.2802
_cell_angle_alpha 90.00
_cell_angle_beta 90.00
_cell_angle_gamma 120.00
loop_
_atom_site_label
_atom_site_type_symbol
_atom_site_fract_x
_atom_site_fract_y
_atom_site_fract_z
Au1 Au 0.2440 0.4880 0.2500
F1 F 0.0000 0.1662 0.3333
F2 F 0.2093 0.5268 0.6630
```

Computed properties:
M_tot   0.00 μB/f.u.
D(E_F)   0.0 states/eV per cell
ΔE_f (raw)   -1.0982 eV/atom
ρ   6.88 Mg/m³
Energy   -505.0 eV/cell
Crystal system   hexagonal



(11)
VASP calculation (meta-GGA SCAN) on Fe3AuF at its PBEsol-relaxed geometry.

CIF file:
```
data_Fe3AuF
_symmetry_space_group_name_H-M 'P m -3 m'
_symmetry_Int_Tables_number 221
_symmetry_space_group_name_Hall '-P 4 2 3'
_cell_length_a 4.0057
_cell_length_b 4.0057
_cell_length_c 4.0057
_cell_angle_alpha 90.00
_cell_angle_beta 90.00
_cell_angle_gamma 90.00
loop_
_atom_site_label
_atom_site_type_symbol
_atom_site_fract_x
_atom_site_fract_y
_atom_site_fract_z
Fe1 Fe 0.0000 0.0000 0.5000
Au1 Au 0.5000 0.5000 0.5000
F1 F 0.0000 0.0000 0.0000
```

Computed properties:
M_tot   9.60 μB/f.u.
D(E_F)   4.3 states/eV per cell
ΔE_f (raw)   -0.0581 eV/atom
ρ   9.91 Mg/m³
Energy   -127.4 eV/cell
Crystal system   cubic



(12)
VASP calculation (meta-GGA SCAN) on FeAuNF2 at its PBEsol-relaxed geometry.

CIF file:
```
data_FeAuNF2
_symmetry_space_group_name_H-M 'P 4/m m m'
_symmetry_Int_Tables_number 123
_symmetry_space_group_name_Hall '-P 4 2'
_cell_length_a 4.5032
_cell_length_b 4.5032
_cell_length_c 3.7064
_cell_angle_alpha 90.00
_cell_angle_beta 90.00
_cell_angle_gamma 90.00
loop_
_atom_site_label
_atom_site_type_symbol
_atom_site_fract_x
_atom_site_fract_y
_atom_site_fract_z
Fe1 Fe 0.0000 0.0000 0.0000
Au1 Au 0.5000 0.5000 0.5000
N1 N 0.5000 0.5000 0.0000
F1 F 0.0000 0.5000 0.5000
```

Computed properties:
M_tot   3.42 μB/f.u.
D(E_F)   3.1 states/eV per cell
ΔE_f (raw)   0.3773 eV/atom
ρ   6.73 Mg/m³
Energy   -101.8 eV/cell
Crystal system   tetragonal



(13)
VASP calculation (meta-GGA SCAN) on FeAu2NF at its PBEsol-relaxed geometry.

CIF file:
```
data_FeAu2NF
_symmetry_space_group_name_H-M 'P 4/m m m'
_symmetry_Int_Tables_number 123
_symmetry_space_group_name_Hall '-P 4 2'
_cell_length_a 4.3315
_cell_length_b 4.3315
_cell_length_c 3.6372
_cell_angle_alpha 90.00
_cell_angle_beta 90.00
_cell_angle_gamma 90.00
loop_
_atom_site_label
_atom_site_type_symbol
_atom_site_fract_x
_atom_site_fract_y
_atom_site_fract_z
Fe1 Fe 0.0000 0.0000 0.0000
Au1 Au 0.0000 0.5000 0.5000
N1 N 0.0000 0.0000 0.5000
F1 F 0.5000 0.5000 0.0000
```

Computed properties:
M_tot   3.08 μB/f.u.
D(E_F)   2.5 states/eV per cell
ΔE_f (raw)   0.1616 eV/atom
ρ   11.75 Mg/m³
Energy   -168.5 eV/cell
Crystal system   tetragonal



(14)
VASP calculation (meta-GGA SCAN) on FeAuO2F at its PBEsol-relaxed geometry.

CIF file:
```
data_FeAuO2F
_symmetry_space_group_name_H-M 'P 4/m m m'
_symmetry_Int_Tables_number 123
_symmetry_space_group_name_Hall '-P 4 2'
_cell_length_a 4.0215
_cell_length_b 4.0215
_cell_length_c 4.1594
_cell_angle_alpha 90.00
_cell_angle_beta 90.00
_cell_angle_gamma 90.00
loop_
_atom_site_label
_atom_site_type_symbol
_atom_site_fract_x
_atom_site_fract_y
_atom_site_fract_z
Fe1 Fe 0.0000 0.0000 0.0000
Au1 Au 0.5000 0.5000 0.5000
O1 O 0.0000 0.5000 0.5000
F1 F 0.5000 0.5000 0.0000
```

Computed properties:
M_tot   3.81 μB/f.u.
D(E_F)   2.0 states/eV per cell
ΔE_f (raw)   0.0434 eV/atom
ρ   7.50 Mg/m³
Energy   -103.1 eV/cell
Crystal system   tetragonal



(15)
VASP calculation (meta-GGA SCAN) on Ga3AuF at its PBEsol-relaxed geometry.

CIF file:
```
data_Ga3AuF
_symmetry_space_group_name_H-M 'P m -3 m'
_symmetry_Int_Tables_number 221
_symmetry_space_group_name_Hall '-P 4 2 3'
_cell_length_a 4.9026
_cell_length_b 4.9026
_cell_length_c 4.9026
_cell_angle_alpha 90.00
_cell_angle_beta 90.00
_cell_angle_gamma 90.00
loop_
_atom_site_label
_atom_site_type_symbol
_atom_site_fract_x
_atom_site_fract_y
_atom_site_fract_z
Ga1 Ga 0.0000 0.0000 0.5000
Au1 Au 0.0000 0.0000 0.0000
F1 F 0.5000 0.5000 0.5000
```

Computed properties:
M_tot   0.00 μB/f.u.
D(E_F)   1.7 states/eV per cell
ΔE_f (raw)   -0.3554 eV/atom
ρ   5.99 Mg/m³
Energy   -123.5 eV/cell
Crystal system   cubic



(16)
VASP calculation (meta-GGA SCAN) on GaAuF2 at its PBEsol-relaxed geometry.

CIF file:
```
data_GaAuF2
_symmetry_space_group_name_H-M 'R -3 m'
_symmetry_Int_Tables_number 166
_symmetry_space_group_name_Hall '-R 3 2"'
_cell_length_a 2.7997
_cell_length_b 2.7997
_cell_length_c 24.0498
_cell_angle_alpha 90.00
_cell_angle_beta 90.00
_cell_angle_gamma 120.00
loop_
_atom_site_label
_atom_site_type_symbol
_atom_site_fract_x
_atom_site_fract_y
_atom_site_fract_z
Ga1 Ga 0.0000 0.0000 0.0000
Au1 Au 0.0000 0.0000 0.5000
F1 F 0.0000 0.0000 0.0785
```

Computed properties:
M_tot   0.00 μB/f.u.
D(E_F)   4.3 states/eV per cell
ΔE_f (raw)   -0.9724 eV/atom
ρ   9.30 Mg/m³
Energy   -289.4 eV/cell
Crystal system   trigonal



(17)
VASP calculation (meta-GGA SCAN) on GaAuNF2 at its PBEsol-relaxed geometry.

CIF file:
```
data_GaAuNF2
_symmetry_space_group_name_H-M 'P 4/m m m'
_symmetry_Int_Tables_number 123
_symmetry_space_group_name_Hall '-P 4 2'
_cell_length_a 3.7330
_cell_length_b 3.7330
_cell_length_c 4.1961
_cell_angle_alpha 90.00
_cell_angle_beta 90.00
_cell_angle_gamma 90.00
loop_
_atom_site_label
_atom_site_type_symbol
_atom_site_fract_x
_atom_site_fract_y
_atom_site_fract_z
Ga1 Ga 0.0000 0.0000 0.0000
Au1 Au 0.5000 0.5000 0.5000
N1 N 0.0000 0.0000 0.5000
F1 F 0.0000 0.5000 0.0000
```

Computed properties:
M_tot   0.00 μB/f.u.
D(E_F)   0.8 states/eV per cell
ΔE_f (raw)   -0.6294 eV/atom
ρ   9.05 Mg/m³
Energy   -105.0 eV/cell
Crystal system   tetragonal



(18)
VASP calculation (meta-GGA SCAN) on GaAu2SF at its PBEsol-relaxed geometry.

CIF file:
```
data_GaAu2SF
_symmetry_space_group_name_H-M 'P 4/m m m'
_symmetry_Int_Tables_number 123
_symmetry_space_group_name_Hall '-P 4 2'
_cell_length_a 4.8501
_cell_length_b 4.8501
_cell_length_c 3.8760
_cell_angle_alpha 90.00
_cell_angle_beta 90.00
_cell_angle_gamma 90.00
loop_
_atom_site_label
_atom_site_type_symbol
_atom_site_fract_x
_atom_site_fract_y
_atom_site_fract_z
Ga1 Ga 0.0000 0.0000 0.0000
Au1 Au 0.0000 0.5000 0.0000
S1 S 0.5000 0.5000 0.5000
F1 F 0.0000 0.0000 0.5000
```

Computed properties:
M_tot   0.00 μB/f.u.
D(E_F)   2.3 states/eV per cell
ΔE_f (raw)   -0.0815 eV/atom
ρ   9.37 Mg/m³
Energy   -168.2 eV/cell
Crystal system   tetragonal



(19)
VASP calculation (meta-GGA SCAN) on ScGa2AuF at its PBEsol-relaxed geometry.

CIF file:
```
data_ScGa2AuF
_symmetry_space_group_name_H-M 'P 4/m m m'
_symmetry_Int_Tables_number 123
_symmetry_space_group_name_Hall '-P 4 2'
_cell_length_a 4.9124
_cell_length_b 4.9124
_cell_length_c 4.2466
_cell_angle_alpha 90.00
_cell_angle_beta 90.00
_cell_angle_gamma 90.00
loop_
_atom_site_label
_atom_site_type_symbol
_atom_site_fract_x
_atom_site_fract_y
_atom_site_fract_z
Sc1 Sc 0.0000 0.0000 0.0000
Ga1 Ga 0.0000 0.5000 0.5000
Au1 Au 0.5000 0.5000 0.5000
F1 F 0.5000 0.5000 0.0000
```

Computed properties:
M_tot   0.00 μB/f.u.
D(E_F)   1.7 states/eV per cell
ΔE_f (raw)   -0.1830 eV/atom
ρ   6.49 Mg/m³
Energy   -120.5 eV/cell
Crystal system   tetragonal



(20)
VASP calculation (meta-GGA SCAN) on GeAu2F at its PBEsol-relaxed geometry.

CIF file:
```
data_GeAu2F
_symmetry_space_group_name_H-M 'F m -3 m'
_symmetry_Int_Tables_number 225
_symmetry_space_group_name_Hall '-F 4 2 3'
_cell_length_a 6.2361
_cell_length_b 6.2361
_cell_length_c 6.2361
_cell_angle_alpha 90.00
_cell_angle_beta 90.00
_cell_angle_gamma 90.00
loop_
_atom_site_label
_atom_site_type_symbol
_atom_site_fract_x
_atom_site_fract_y
_atom_site_fract_z
Ge1 Ge 0.0000 0.0000 0.0000
Au1 Au 0.2500 0.2500 0.2500
F1 F 0.0000 0.0000 0.5000
```

Computed properties:
M_tot   0.00 μB/f.u.
D(E_F)   5.6 states/eV per cell
ΔE_f (raw)   -0.2836 eV/atom
ρ   13.30 Mg/m³
Energy   -648.3 eV/cell
Crystal system   cubic